Pm5Sm2Sc2: relaxed, GGA-PBE.

a b c (Å): 10.0029 5.5617 11.9160
angles (deg): 103.50 114.82 90.00
Sites, in units of the cell vectors:
Sm1 0.6943 0.1761 0.5000
Sm2 0.3057 0.6761 0.5000
Pm1 0.4713 0.2683 0.6842
Pm2 0.9735 0.5367 0.2206
Sc1 0.6159 0.8803 0.9082
Pm3 0.7471 0.0367 0.2206
Pm4 0.2529 0.8161 0.7794
Sm3 0.5000 0.4263 0.0000
Sm4 0.0000 0.9263 0.0000
Sc2 0.2078 0.4722 0.0918
Sc3 0.3841 0.9722 0.0918
Pm5 0.0265 0.3161 0.7794
Sc4 0.7922 0.3803 0.9082
Pm6 0.9114 0.6760 0.5000
Pm7 0.2871 0.0841 0.3158
Pm8 0.5287 0.5841 0.3158
Pm9 0.7129 0.7683 0.6842
Pm10 0.0886 0.1760 0.5000

Computed properties:
* total energy: -0.36634 Ry/atom
* distance to the lowest polymorph of the same formula: 0.00 eV/f.u.
* energy of formation from the pure elements: 0.995 eV per formula unit
* SG: Imma